(1)
# Ca2HgSe

A relaxed Ca2HgSe crystal (PBE, Alexandria).

Results
E_form (uncorrected) ... -0.39 eV per atom
Calculated volume ... 27.5 Å³/atom
N(E_F) ... 2.43 states/eV/f.u.
Distance to the lowest polymorph of the same formula ... 0.7260 eV/atom

a b c (Å): 5.3782 5.3782 5.3782
angles (deg): 60.00 60.00 60.00
With the nearest neighbours (Å) after each atom.
Positions (direct):
Ca  0.0000  0.0000  0.0000  4 Hg 3.29, 4 Ca 3.29
Ca  0.2500  0.2500  0.2500  4 Se 3.29, 4 Ca 3.29
Hg  0.7500  0.7500  0.7500  4 Se 3.29, 4 Ca 3.29
Se  0.5000  0.5000  0.5000  4 Hg 3.29, 4 Ca 3.29

***

(2)
# CaHg2Se

A relaxed CaHg2Se crystal (PBE, Alexandria).

Results
E_form (uncorrected) ... -0.81 eV per atom
Calculated volume ... 29.8 Å³/atom
N(E_F) ... 0.28 states/eV/f.u.

a b c (Å): 4.1198 4.0781 7.1418
angles (deg): 90.00 97.03 90.00
With the nearest neighbours (Å) after each atom.
Positions (direct):
Ca  0.0000  0.0000  0.0000  4 Se 2.90
Hg  0.4595  0.0000  0.4273  4 Hg 3.12-3.15, 1 Ca 3.39
Hg  0.9901  0.5000  0.5954  4 Hg 3.12-3.15, 1 Se 3.47
Se  0.5051  0.5000  0.0182  4 Ca 2.90

***

(3)
# CaHg2Se

A relaxed CaHg2Se crystal (PBE, Alexandria).

Results
E_form (uncorrected) ... -0.49 eV per atom
Calculated volume ... 28.0 Å³/atom
N(E_F) ... 0.42 states/eV/f.u.

a b c (Å): 6.7650 6.7650 6.7650
angles (deg): 39.37 39.37 39.37
With the nearest neighbours (Å) after each atom.
Positions (direct):
Ca  0.0000  0.0000  0.0000  6 Hg 3.11
Hg  0.2449  0.2449  0.2449  3 Se 3.01, 3 Ca 3.11
Hg  0.7551  0.7551  0.7551  3 Se 3.01, 3 Ca 3.11
Se  0.5000  0.5000  0.5000  6 Hg 3.01

***

(4)
# Ca2Hg2Se

A relaxed Ca2Hg2Se crystal (PBE, Alexandria).

Results
E_form (uncorrected) ... -0.77 eV per atom
Calculated volume ... 30.0 Å³/atom
N(E_F) ... 3.46 states/eV/f.u.
Distance to the lowest polymorph of the same formula ... 0.0000 eV/atom

a b c (Å): 7.8595 7.8595 4.8556
angles (deg): 90.00 90.00 90.00
With the nearest neighbours (Å) after each atom.
Positions (direct):
Ca  0.1810  0.3190  0.0000  2 Se 2.88, 2 Hg 3.18
Ca  0.3190  0.8190  0.0000  2 Se 2.88, 2 Hg 3.18
Ca  0.6810  0.1810  0.0000  2 Se 2.88, 2 Hg 3.18
Ca  0.8190  0.6810  0.0000  2 Se 2.88, 2 Hg 3.18
Hg  0.1337  0.6337  0.5000  1 Hg 2.97, 2 Ca 3.18
Hg  0.3663  0.1337  0.5000  1 Hg 2.97, 2 Ca 3.18
Hg  0.6337  0.8663  0.5000  1 Hg 2.97, 2 Ca 3.18
Hg  0.8663  0.3663  0.5000  1 Hg 2.97, 2 Ca 3.18
Se  0.0000  0.0000  0.0000  4 Ca 2.88
Se  0.5000  0.5000  0.0000  4 Ca 2.88

***

(5)
# Ca2HgSe

A relaxed Ca2HgSe crystal (PBE, Alexandria).

Results
E_form (uncorrected) ... -0.94 eV per atom
Calculated volume ... 31.1 Å³/atom
N(E_F) ... 0.27 states/eV/f.u.
Distance to the lowest polymorph of the same formula ... 0.1804 eV/atom

a b c (Å): 6.8648 6.8648 6.8648
angles (deg): 108.70 108.70 111.03
With the nearest neighbours (Å) after each atom.
Positions (direct):
Ca  0.0968  0.6250  0.9718  2 Se 2.85, 2 Hg 3.15
Ca  0.3750  0.3468  0.4718  2 Se 2.85, 2 Hg 3.15
Ca  0.6532  0.1250  0.0282  2 Se 2.85, 2 Hg 3.15
Ca  0.8750  0.9032  0.5282  2 Se 2.85, 2 Hg 3.15
Hg  0.2500  0.7500  0.5000  4 Ca 3.15
Hg  0.5000  0.5000  0.0000  4 Ca 3.15
Se  0.0000  0.0000  0.0000  4 Ca 2.85
Se  0.7500  0.2500  0.5000  4 Ca 2.85

***

(6)
# Ca2HgSe

A relaxed Ca2HgSe crystal (PBE, Alexandria).

Results
E_form (uncorrected) ... -0.85 eV per atom
Calculated volume ... 26.7 Å³/atom
N(E_F) ... 4.20 states/eV/f.u.
Distance to the lowest polymorph of the same formula ... 0.2675 eV/atom

a b c (Å): 5.3246 5.3246 5.3246
angles (deg): 60.00 60.00 60.00
With the nearest neighbours (Å) after each atom.
Positions (direct):
Ca  0.2500  0.2500  0.2500  4 Hg 3.26, 4 Se 3.26
Ca  0.7500  0.7500  0.7500  4 Se 3.26, 4 Hg 3.26
Hg  0.0000  0.0000  0.0000  8 Ca 3.26
Se  0.5000  0.5000  0.5000  8 Ca 3.26

***

(7)
# CaHg2Se

A relaxed CaHg2Se crystal (PBE, Alexandria).

Results
E_form (uncorrected) ... -0.64 eV per atom
Calculated volume ... 27.4 Å³/atom
N(E_F) ... 0.10 states/eV/f.u.

a b c (Å): 6.8135 6.8135 6.8135
angles (deg): 100.17 100.17 130.30
With the nearest neighbours (Å) after each atom.
Positions (direct):
Ca  0.0000  0.0000  0.0000  2 Se 2.86
Ca  0.7500  0.2500  0.5000  2 Se 2.86
Hg  0.1480  0.6250  0.0230  2 Hg 2.89, 2 Se 3.04
Hg  0.3750  0.3980  0.5230  2 Hg 2.89, 2 Se 3.04
Hg  0.6020  0.1250  0.9770  2 Hg 2.89, 2 Se 3.04
Hg  0.8750  0.8520  0.4770  2 Hg 2.89, 2 Se 3.04
Se  0.2500  0.7500  0.5000  2 Ca 2.86, 4 Hg 3.04
Se  0.5000  0.5000  0.0000  2 Ca 2.86, 4 Hg 3.04

***

(8)
# Ca2HgSe2

A relaxed Ca2HgSe2 crystal (PBE, Alexandria).

Results
E_form (uncorrected) ... -1.31 eV per atom
Calculated volume ... 35.5 Å³/atom
N(E_F) ... 0.00 states/eV/f.u.
Distance to the lowest polymorph of the same formula ... 0.0661 eV/atom

a b c (Å): 7.2239 7.2239 7.2239
angles (deg): 136.32 136.32 63.49
With the nearest neighbours (Å) after each atom.
Positions (direct):
Ca  0.2500  0.7500  0.5000  4 Se 2.86
Ca  0.7500  0.2500  0.5000  4 Se 2.86
Hg  0.0000  0.0000  0.0000  10 Se 4.06-4.34, 8 Ca 4.08
Se  0.3302  0.3302  0.0000  4 Ca 2.86
Se  0.6698  0.6698  0.0000  4 Ca 2.86

***

(9)
# CaHg2Se

A relaxed CaHg2Se crystal (PBE, Alexandria).

Results
E_form (uncorrected) ... -0.49 eV per atom
Calculated volume ... 26.6 Å³/atom
N(E_F) ... 2.24 states/eV/f.u.

a b c (Å): 4.1957 4.1957 6.0461
angles (deg): 90.00 90.00 90.00
With the nearest neighbours (Å) after each atom.
Positions (direct):
Ca  0.0000  0.0000  0.0000  2 Se 3.02, 8 Hg 3.36
Hg  0.5000  0.5000  0.2612  2 Hg 2.89-3.16
Hg  0.5000  0.5000  0.7388  2 Hg 2.89-3.16
Se  0.0000  0.0000  0.5000  2 Ca 3.02, 8 Hg 3.30

***

(10)
# CaHg2Se

A relaxed CaHg2Se crystal (PBE, Alexandria).

Results
E_form (uncorrected) ... -0.84 eV per atom
Calculated volume ... 27.8 Å³/atom
N(E_F) ... 1.13 states/eV/f.u.

a b c (Å): 7.0141 7.0141 7.0141
angles (deg): 145.32 145.32 49.86
With the nearest neighbours (Å) after each atom.
Positions (direct):
Ca  0.0000  0.0000  0.0000  4 Se 2.96
Hg  0.2640  0.2640  0.0000  4 Hg 2.98, 1 Se 3.00
Hg  0.7360  0.7360  0.0000  4 Hg 2.98, 1 Se 3.00
Se  0.5000  0.5000  0.0000  4 Ca 2.96, 2 Hg 3.00

***

(11)
# Ca2Hg2Se

A relaxed Ca2Hg2Se crystal (PBE, Alexandria).

Results
E_form (uncorrected) ... -0.38 eV per atom
Calculated volume ... 31.5 Å³/atom
N(E_F) ... 5.34 states/eV/f.u.
Distance to the lowest polymorph of the same formula ... 0.3864 eV/atom

a b c (Å): 6.2120 6.2120 6.2120
angles (deg): 124.20 124.20 82.87
With the nearest neighbours (Å) after each atom.
Positions (direct):
Ca  0.2500  0.7500  0.5000  4 Hg 3.05
Ca  0.7500  0.2500  0.5000  4 Hg 3.05
Hg  0.1500  0.1500  0.0000  1 Hg 2.79, 4 Ca 3.05
Hg  0.8500  0.8500  0.0000  1 Hg 2.79, 4 Ca 3.05
Se  0.5000  0.5000  0.0000  2 Hg 3.26

***

(12)
# Ca2HgSe2

A relaxed Ca2HgSe2 crystal (PBE, Alexandria).

Results
E_form (uncorrected) ... -1.32 eV per atom
Calculated volume ... 26.0 Å³/atom
N(E_F) ... 0.53 states/eV/f.u.
Distance to the lowest polymorph of the same formula ... 0.0616 eV/atom

a b c (Å): 8.3180 8.3180 3.7513
angles (deg): 90.00 90.00 90.00
With the nearest neighbours (Å) after each atom.
Positions (direct):
Ca  0.1544  0.3456  0.0000  6 Se 2.99-3.13
Ca  0.3456  0.8456  0.0000  6 Se 2.99-3.13
Ca  0.6544  0.1544  0.0000  6 Se 2.99-3.13
Ca  0.8456  0.6544  0.0000  6 Se 2.99-3.13
Hg  0.0000  0.0000  0.5000  4 Se 3.18
Hg  0.5000  0.5000  0.5000  4 Se 3.18
Se  0.1472  0.6472  0.5000  6 Ca 2.99-3.13, 2 Hg 3.18
Se  0.3528  0.1472  0.5000  6 Ca 2.99-3.13, 2 Hg 3.18
Se  0.6472  0.8528  0.5000  6 Ca 2.99-3.13, 2 Hg 3.18
Se  0.8528  0.3528  0.5000  6 Ca 2.99-3.13, 2 Hg 3.18